[1]
Below is a geometry-optimized Er3CuSb structure, with properties calculated at the PBE level.

abc: 7.9092 7.9092 8.4020
angles: 91.00 91.00 29.42
With the nearest neighbours (Å) after each atom.
Fractional coordinates of all 10 atoms:
Er1 0.0431 0.0431 0.2030  1 Cu 3.17, 4 Sb 3.24-3.27
Er2 0.2521 0.2521 0.7990  3 Cu 2.88-3.12, 3 Sb 3.08-3.16
Er3 0.3955 0.3955 0.4511  3 Cu 2.75-2.85
Er4 0.6045 0.6045 0.5489  3 Cu 2.75-2.85
Er5 0.7479 0.7479 0.2010  3 Cu 2.88-3.12, 3 Sb 3.08-3.16
Er6 0.9569 0.9569 0.7970  1 Cu 3.17, 4 Sb 3.24-3.27
Cu1 0.2092 0.2092 0.4350  2 Cu 2.60, 5 Er 2.75-2.88
Cu2 0.7908 0.7908 0.5650  2 Cu 2.60, 5 Er 2.75-2.88
Sb1 0.3895 0.3895 0.0721  8 Er 3.08-3.27
Sb2 0.6105 0.6105 0.9279  8 Er 3.08-3.27

E_form (uncorrected) = -0.508 eV per atom
ρ = 8.84 g/cm3
Energy = -4.89 eV per atom

---

[2]
Below is a geometry-optimized MgAg2Au2 structure, with properties calculated at the PBE level.

abc: 4.5937 4.5937 5.5429
angles: 90.00 90.00 120.00
With the nearest neighbours (Å) after each atom.
Fractional coordinates of all 5 atoms:
Mg1 0.0000 0.0000 0.0000  6 Au 2.76
Ag1 0.3333 0.6667 0.6309  5 Au 2.74-2.95, 3 Ag 3.02
Ag2 0.6667 0.3333 0.3691  5 Au 2.74-2.95, 3 Ag 3.02
Au1 0.3333 0.6667 0.1363  5 Ag 2.74-2.95, 3 Mg 2.76, 3 Au 3.05
Au2 0.6667 0.3333 0.8637  5 Ag 2.74-2.95, 3 Mg 2.76, 3 Au 3.05

ρ = 10.39 g/cm3
Energy = -2.93 eV per atom
Energy relative to the elements = -0.160 eV/atom

---

[3]
Below is a geometry-optimized PuInTcRh structure, with properties calculated at the PBE level.

abc: 4.6931 4.6931 4.6931
angles: 60.00 60.00 60.00
With the nearest neighbours (Å) after each atom.
Fractional coordinates of all 4 atoms:
Pu1 0.0000 0.0000 0.0000  4 Tc 2.87, 4 Rh 2.87
In1 0.5000 0.5000 0.5000  4 Tc 2.87, 4 Rh 2.87
Tc1 0.7500 0.7500 0.7500  4 In 2.87, 4 Pu 2.87
Rh1 0.2500 0.2500 0.2500  4 In 2.87, 4 Pu 2.87

ρ = 12.72 g/cm3
Energy = -8.92 eV per atom
Energy relative to the elements = -0.225 eV/atom

---

[4]
Below is a geometry-optimized Sb2PSeF structure, with properties calculated at the PBE level.

abc: 5.3977 5.3977 4.7822
angles: 90.00 90.00 90.00
With the nearest neighbours (Å) after each atom.
Fractional coordinates of all 5 atoms:
Sb1 0.0000 0.5000 0.0000  2 Se 2.70
Sb2 0.5000 0.0000 0.0000  2 Se 2.70
P1 0.0000 0.0000 0.5000  2 Se 2.39
Se1 0.0000 0.0000 0.0000  2 P 2.39
F1 0.5000 0.5000 0.5000  8 Sb 3.61, 4 P 3.82

E_form (uncorrected) = 0.601 eV per atom
ρ = 4.44 g/cm3
Energy = -3.20 eV per atom

---

[5]
Below is a geometry-optimized Rb2TeMoC structure, with properties calculated at the PBE level.

abc: 7.0588 7.0588 5.4142
angles: 90.00 90.00 90.00
With the nearest neighbours (Å) after each atom.
Fractional coordinates of all 5 atoms:
Rb1 0.0000 0.5000 0.0000  2 Te 3.53
Rb2 0.5000 0.0000 0.0000  2 Te 3.53
Te1 0.0000 0.0000 0.0000  2 Mo 2.71
Mo1 0.0000 0.0000 0.5000  2 Te 2.71
C1 0.5000 0.5000 0.5000  8 Rb 4.45

E_form (uncorrected) = 1.566 eV per atom
ρ = 2.50 g/cm3
Energy = -3.46 eV per atom

---

[6]
Below is a geometry-optimized CaAs2PdRh structure, with properties calculated at the PBE level.

abc: 4.7865 4.7865 5.1097
angles: 90.00 90.00 90.00
With the nearest neighbours (Å) after each atom.
Fractional coordinates of all 5 atoms:
Ca1 0.0000 0.0000 0.0000  2 Pd 2.55
As1 0.0000 0.5000 0.5000  2 Pd 2.39
As2 0.5000 0.0000 0.5000  2 Pd 2.39
Pd1 0.0000 0.0000 0.5000  4 As 2.39, 2 Ca 2.55
Rh1 0.5000 0.5000 0.0000  4 Ca 3.38, 8 As 3.50

ρ = 5.66 g/cm3
Energy = -4.43 eV per atom
Energy relative to the elements = 0.340 eV/atom

---

- Which value of energy does entry 1 give?
  -4.89 eV per atom

---

- Which of these has the lowest energy?
  PuInTcRh

---

- Which formula does entry 4 have?
  Sb2PSeF

---

- What is the formula in the first record?
  Er3CuSb